(1)
# ScTcNi2

Crystalline ScTcNi2 at its relaxed geometry (GGA-PBE, the Alexandria database).

Results
Crystal system: cubic
Energy above the most stable polymorph in this dataset: 15.1 kJ per mole of atoms
Formation enthalpy at 0 K: -0.003 eV/atom

```
data_ScTcNi2
_symmetry_space_group_name_H-M 'F -4 3 m'
_symmetry_Int_Tables_number 216
_symmetry_space_group_name_Hall 'F -4 2 3'
_cell_length_a 6.071
_cell_length_b 6.071
_cell_length_c 6.071
_cell_angle_alpha 90.00
_cell_angle_beta 90.00
_cell_angle_gamma 90.00
loop_
_atom_site_label
_atom_site_type_symbol
_atom_site_fract_x
_atom_site_fract_y
_atom_site_fract_z
Sc1 Sc 0.000 0.000 0.000
Tc1 Tc 0.250 0.250 0.250
Ni1 Ni 0.000 0.000 0.500
Ni2 Ni 0.250 0.250 0.750
```

---

(2)
# ScTcNi6

Crystalline ScTcNi6 at its relaxed geometry (GGA-PBE, the Alexandria database).

Results
Crystal system: orthorhombic
Formation enthalpy at 0 K: -0.160 eV/atom

```
data_ScTcNi6
_symmetry_space_group_name_H-M 'C m m m'
_symmetry_Int_Tables_number 65
_symmetry_space_group_name_Hall '-C 2 2'
_cell_length_a 7.319
_cell_length_b 10.361
_cell_length_c 10.369
_cell_angle_alpha 90.00
_cell_angle_beta 90.00
_cell_angle_gamma 90.00
loop_
_atom_site_label
_atom_site_type_symbol
_atom_site_fract_x
_atom_site_fract_y
_atom_site_fract_z
Sc1 Sc 0.000 0.000 0.250
Sc2 Sc 0.000 0.248 0.000
Tc1 Tc 0.000 0.244 0.500
Tc2 Tc 0.000 0.500 0.249
Ni1 Ni 0.000 0.000 0.000
Ni2 Ni 0.000 0.000 0.500
Ni3 Ni 0.000 0.255 0.257
Ni4 Ni 0.000 0.500 0.000
Ni5 Ni 0.000 0.500 0.500
Ni6 Ni 0.244 0.373 0.378
Ni7 Ni 0.244 0.377 0.129
```

---

(3)
# Sc4TcNi

Crystalline Sc4TcNi at its relaxed geometry (GGA-PBE, the Alexandria database).

Results
Crystal system: cubic
Energy above the most stable polymorph in this dataset: 83.8 kJ per mole of atoms
Formation enthalpy at 0 K: 0.621 eV/atom

```
data_Sc4TcNi
_symmetry_space_group_name_H-M 'F -4 3 m'
_symmetry_Int_Tables_number 216
_symmetry_space_group_name_Hall 'F -4 2 3'
_cell_length_a 7.712
_cell_length_b 7.712
_cell_length_c 7.712
_cell_angle_alpha 90.00
_cell_angle_beta 90.00
_cell_angle_gamma 90.00
loop_
_atom_site_label
_atom_site_type_symbol
_atom_site_fract_x
_atom_site_fract_y
_atom_site_fract_z
Sc1 Sc 0.125 0.125 0.125
Tc1 Tc 0.250 0.250 0.750
Ni1 Ni 0.000 0.000 0.500
```

---

(4)
# ScTc2Ni2

Crystalline ScTc2Ni2 at its relaxed geometry (GGA-PBE, the Alexandria database).

Results
Crystal system: tetragonal
Energy above the most stable polymorph in this dataset: 5.6 kJ per mole of atoms
Formation enthalpy at 0 K: 0.041 eV/atom

```
data_ScTc2Ni2
_symmetry_space_group_name_H-M 'P 4/m b m'
_symmetry_Int_Tables_number 127
_symmetry_space_group_name_Hall '-P 4 2ab'
_cell_length_a 7.437
_cell_length_b 7.437
_cell_length_c 2.638
_cell_angle_alpha 90.00
_cell_angle_beta 90.00
_cell_angle_gamma 90.00
loop_
_atom_site_label
_atom_site_type_symbol
_atom_site_fract_x
_atom_site_fract_y
_atom_site_fract_z
Sc1 Sc 0.000 0.000 0.000
Tc1 Tc 0.118 0.382 0.000
Ni1 Ni 0.179 0.679 0.500
```

---

(5)
# Sc2TcNi

Crystalline Sc2TcNi at its relaxed geometry (GGA-PBE, the Alexandria database).

Results
Crystal system: tetragonal
Energy above the most stable polymorph in this dataset: 43.6 kJ per mole of atoms
Formation enthalpy at 0 K: 0.119 eV/atom

```
data_Sc2TcNi
_symmetry_space_group_name_H-M 'I -4 2 d'
_symmetry_Int_Tables_number 122
_symmetry_space_group_name_Hall 'I -4 2bw'
_cell_length_a 6.968
_cell_length_b 6.968
_cell_length_c 5.725
_cell_angle_alpha 90.00
_cell_angle_beta 90.00
_cell_angle_gamma 90.00
loop_
_atom_site_label
_atom_site_type_symbol
_atom_site_fract_x
_atom_site_fract_y
_atom_site_fract_z
Sc1 Sc 0.229 0.250 0.125
Tc1 Tc 0.000 0.000 0.500
Ni1 Ni 0.000 0.000 0.000
```

---

(6)
# ScTc2Ni2

Crystalline ScTc2Ni2 at its relaxed geometry (GGA-PBE, the Alexandria database).

Results
Crystal system: tetragonal
Energy above the most stable polymorph in this dataset: 8.0 kJ per mole of atoms
Formation enthalpy at 0 K: 0.065 eV/atom

```
data_ScTc2Ni2
_symmetry_space_group_name_H-M 'P 4/m b m'
_symmetry_Int_Tables_number 127
_symmetry_space_group_name_Hall '-P 4 2ab'
_cell_length_a 6.414
_cell_length_b 6.414
_cell_length_c 3.493
_cell_angle_alpha 90.00
_cell_angle_beta 90.00
_cell_angle_gamma 90.00
loop_
_atom_site_label
_atom_site_type_symbol
_atom_site_fract_x
_atom_site_fract_y
_atom_site_fract_z
Sc1 Sc 0.000 0.000 0.000
Tc1 Tc 0.158 0.342 0.500
Ni1 Ni 0.129 0.629 0.000
```

---

(7)
# ScTcNi2

Crystalline ScTcNi2 at its relaxed geometry (GGA-PBE, the Alexandria database).

Results
Crystal system: tetragonal
Energy above the most stable polymorph in this dataset: 49.4 kJ per mole of atoms
Formation enthalpy at 0 K: 0.352 eV/atom

```
data_ScTcNi2
_symmetry_space_group_name_H-M 'I -4 2 d'
_symmetry_Int_Tables_number 122
_symmetry_space_group_name_Hall 'I -4 2bw'
_cell_length_a 3.763
_cell_length_b 3.763
_cell_length_c 17.280
_cell_angle_alpha 90.00
_cell_angle_beta 90.00
_cell_angle_gamma 90.00
loop_
_atom_site_label
_atom_site_type_symbol
_atom_site_fract_x
_atom_site_fract_y
_atom_site_fract_z
Sc1 Sc 0.000 0.000 0.000
Tc1 Tc 0.000 0.000 0.500
Ni1 Ni 0.228 0.250 0.625
```

---

(8)
# ScTcNi2

Crystalline ScTcNi2 at its relaxed geometry (GGA-PBE, the Alexandria database).

Results
Crystal system: orthorhombic
Energy above the most stable polymorph in this dataset: 1.2 kJ per mole of atoms
Formation enthalpy at 0 K: -0.148 eV/atom

```
data_ScTcNi2
_symmetry_space_group_name_H-M 'C m m m'
_symmetry_Int_Tables_number 65
_symmetry_space_group_name_Hall '-C 2 2'
_cell_length_a 5.407
_cell_length_b 7.454
_cell_length_c 2.728
_cell_angle_alpha 90.00
_cell_angle_beta 90.00
_cell_angle_gamma 90.00
loop_
_atom_site_label
_atom_site_type_symbol
_atom_site_fract_x
_atom_site_fract_y
_atom_site_fract_z
Sc1 Sc 0.000 0.000 0.000
Tc1 Tc 0.000 0.500 0.000
Ni1 Ni 0.250 0.250 0.500
```

---

(9)
# ScTcNi2

Crystalline ScTcNi2 at its relaxed geometry (GGA-PBE, the Alexandria database).

Results
Crystal system: trigonal
Energy above the most stable polymorph in this dataset: 35.3 kJ per mole of atoms
Formation enthalpy at 0 K: 0.206 eV/atom

```
data_ScTcNi2
_symmetry_space_group_name_H-M 'R 3 m'
_symmetry_Int_Tables_number 160
_symmetry_space_group_name_Hall 'R 3 -2"'
_cell_length_a 2.7943
_cell_length_b 2.7943
_cell_length_c 25.4142
_cell_angle_alpha 90.00
_cell_angle_beta 90.00
_cell_angle_gamma 120.00
loop_
_atom_site_label
_atom_site_type_symbol
_atom_site_fract_x
_atom_site_fract_y
_atom_site_fract_z
Sc1 Sc 0.0000 0.0000 0.0000
Tc1 Tc 0.0000 0.0000 0.7620
Ni1 Ni 0.0000 0.0000 0.2498
Ni2 Ni 0.0000 0.0000 0.5064
```

---

(10)
# Sc2TcNi

Crystalline Sc2TcNi at its relaxed geometry (GGA-PBE, the Alexandria database).

Results
Crystal system: orthorhombic
Energy above the most stable polymorph in this dataset: 30.0 kJ per mole of atoms
Formation enthalpy at 0 K: -0.022 eV/atom

```
data_Sc2TcNi
_symmetry_space_group_name_H-M 'P m m 2'
_symmetry_Int_Tables_number 25
_cell_length_a 2.917
_cell_length_b 4.321
_cell_length_c 5.453
_cell_angle_alpha 90.00
_cell_angle_beta 90.00
_cell_angle_gamma 90.00
loop_
_symmetry_equiv_pos_as_xyz
'x,y,z'
'-x,-y,z'
'-x,y,z'
'x,-y,z'
loop_
_atom_site_label
_atom_site_type_symbol
_atom_site_fract_x
_atom_site_fract_y
_atom_site_fract_z
Sc1 Sc 0.000 0.000 0.000
Sc2 Sc 0.500 0.500 0.346
Tc1 Tc 0.000 0.000 0.516
Ni1 Ni 0.500 0.500 0.828
```

---

(11)
# Sc2TcNi

Crystalline Sc2TcNi at its relaxed geometry (GGA-PBE, the Alexandria database).

Results
Crystal system: cubic
Energy above the most stable polymorph in this dataset: 36.7 kJ per mole of atoms
Formation enthalpy at 0 K: 0.047 eV/atom

```
data_Sc2TcNi
_symmetry_space_group_name_H-M 'F -4 3 m'
_symmetry_Int_Tables_number 216
_symmetry_space_group_name_Hall 'F -4 2 3'
_cell_length_a 6.400
_cell_length_b 6.400
_cell_length_c 6.400
_cell_angle_alpha 90.00
_cell_angle_beta 90.00
_cell_angle_gamma 90.00
loop_
_atom_site_label
_atom_site_type_symbol
_atom_site_fract_x
_atom_site_fract_y
_atom_site_fract_z
Sc1 Sc 0.000 0.000 0.000
Sc2 Sc 0.250 0.250 0.250
Tc1 Tc 0.000 0.000 0.500
Ni1 Ni 0.250 0.250 0.750
```

---

(12)
# Sc2TcNi

Crystalline Sc2TcNi at its relaxed geometry (GGA-PBE, the Alexandria database).

Results
Crystal system: orthorhombic
Energy above the most stable polymorph in this dataset: 11.8 kJ per mole of atoms
Formation enthalpy at 0 K: -0.211 eV/atom

```
data_Sc2TcNi
_symmetry_space_group_name_H-M 'I m m 2'
_symmetry_Int_Tables_number 44
_cell_length_a 3.278
_cell_length_b 4.350
_cell_length_c 9.414
_cell_angle_alpha 90.00
_cell_angle_beta 90.00
_cell_angle_gamma 90.00
loop_
_symmetry_equiv_pos_as_xyz
'x,y,z'
'-x,-y,z'
'-x,y,z'
'x,-y,z'
'x+1/2,y+1/2,z+1/2'
'-x+1/2,-y+1/2,z+1/2'
'-x+1/2,y+1/2,z+1/2'
'x+1/2,-y+1/2,z+1/2'
loop_
_atom_site_label
_atom_site_type_symbol
_atom_site_fract_x
_atom_site_fract_y
_atom_site_fract_z
Sc1 Sc 0.000 0.000 0.000
Sc2 Sc 0.000 0.500 0.224
Tc1 Tc 0.000 0.500 0.756
Ni1 Ni 0.000 0.000 0.475
```

---

Look up the formation enthalpy at 0 K of the third one. 0.621 eV/atom